Record 1
DFT (GGA+U) results for Ba3Li2CoO6 after structural relaxation.

Structure (POSCAR):
```
Ba3Li2CoO6
1.0
5.7953 0.0000 0.0000
-2.8977 5.0189 0.0000
0.0000 0.0000 6.6062
Ba Li Co O
3 2 1 6
direct
0.3333 0.6667 0.6457
0.6667 0.3333 0.3543
0.0000 0.0000 0.0000
0.6667 0.3333 0.7602
0.3333 0.6667 0.2398
0.0000 0.0000 0.5000
0.6832 0.8416 0.3256
0.1584 0.3168 0.3256
0.1584 0.8416 0.3256
0.8416 0.6832 0.6744
0.3168 0.1584 0.6744
0.8416 0.1584 0.6744
```

Output
- Raw total energy: -5.513 eV per atom
- M_tot: 1.0 Bohr magnetons per cell


Record 2
DFT (GGA+U) results for BaLi2CoO4 after structural relaxation.

Structure (POSCAR):
```
BaLi2CoO4
1.0
5.2261 0.7708 0.0000
-1.1166 5.1633 0.0000
-2.0547 -2.9670 3.8576
Ba Li Co O
1 2 1 4
direct
0.5000 0.5000 0.0000
0.7500 0.2500 0.5000
0.2500 0.7500 0.5000
0.0000 0.0000 0.0000
0.6608 0.6608 0.6243
0.9634 0.3392 0.0000
0.3392 0.9634 0.0000
0.0366 0.0366 0.3757
```

Output
- Raw total energy: -5.557 eV per atom
- M_tot: 5.0 Bohr magnetons per cell


Record 3
DFT (GGA+U) results for BaLiCoO3 after structural relaxation.

Structure (POSCAR):
```
BaLiCoO3
1.0
5.7071 -0.4471 0.1051
2.2793 5.2512 0.1051
2.3062 1.3872 5.8910
Ba Li Co O
2 2 2 6
direct
0.7033 0.7033 0.8478
0.2967 0.2967 0.1522
0.3335 0.6665 0.5000
0.6665 0.3335 0.5000
0.0855 0.0855 0.7398
0.9145 0.9145 0.2602
0.2954 0.2954 0.5942
0.1856 0.7428 0.7943
0.7428 0.1856 0.7943
0.2572 0.8144 0.2057
0.8144 0.2572 0.2057
0.7046 0.7046 0.4058
```

Output
- Raw total energy: -5.686 eV per atom
- M_tot: 8.0 Bohr magnetons per cell


M_tot of number 3 (BaLiCoO3)?
8.0 Bohr magnetons per cell


M_tot of number 2 (BaLi2CoO4)?
5.0 Bohr magnetons per cell


Which of these has the lowest M_tot?
Ba3Li2CoO6